A relaxed Dy2Tc2C3 crystal. Source: the Alexandria database, functional PBE-GGA.

a b c (Å): 11.6610 3.3294 5.6887
angles (deg): 90.00 113.98 90.00
With the nearest neighbours (Å) after each atom.
Atoms (fractional coordinates):
Dy (0.1091, 0.0000, 0.3212)  5 C 2.42-2.54
Dy (0.3909, 0.5000, 0.6788)  5 C 2.42-2.54
Dy (0.6091, 0.5000, 0.3212)  5 C 2.42-2.54
Dy (0.8909, 0.0000, 0.6788)  5 C 2.42-2.54
Tc (0.1582, 0.5000, 0.8212)  4 C 2.00-2.12
Tc (0.3418, 0.0000, 0.1788)  4 C 2.00-2.12
Tc (0.6582, 0.0000, 0.8212)  4 C 2.00-2.12
Tc (0.8418, 0.5000, 0.1788)  4 C 2.00-2.12
C (0.0000, 0.5000, 0.5000)  2 Tc 2.00
C (0.2469, 0.5000, 0.2293)  3 Tc 2.08-2.12
C (0.2531, 0.0000, 0.7707)  3 Tc 2.08-2.12
C (0.5000, 0.0000, 0.5000)  2 Tc 2.00
C (0.7469, 0.0000, 0.2293)  3 Tc 2.08-2.12
C (0.7531, 0.5000, 0.7707)  3 Tc 2.08-2.12

## Properties
**ΔE_f**: -0.35 eV/atom
**Total magnetization**: 0.00 μB per cell
**SG**: C2/m
**VASP energy**: -8.580 eV per atom